The following is a DFT calculation (PBE) of Dy6FeTe4 after structural relaxation.

a b c (Å): 8.5336 8.5336 8.5336
angles (deg): 91.08 91.08 88.92
With the nearest neighbours (Å) after each atom.
Fractional coordinates of all 22 atoms:
Te 0.8777 0.2500 0.3777  8 Dy 3.21-3.36
Te 0.6223 0.8777 0.7500  8 Dy 3.21-3.36
Dy 0.0696 0.2859 0.0605  1 Fe 2.56
Te 0.1223 0.7500 0.6223  8 Dy 3.21-3.36
Fe 0.0000 0.0000 0.0000  6 Dy 2.56
Fe 0.5000 0.5000 0.5000  6 Dy 2.56
Dy 0.4395 0.7859 0.4304  1 Fe 2.56
Dy 0.9304 0.7141 0.9395  1 Fe 2.56
Dy 0.2859 0.9395 0.9304  1 Fe 2.56
Dy 0.7859 0.5696 0.5605  1 Fe 2.56
Te 0.7500 0.7500 0.2500  6 Dy 3.10
Te 0.2500 0.6223 0.1223  8 Dy 3.21-3.36
Te 0.7500 0.3777 0.8777  8 Dy 3.21-3.36
Dy 0.5605 0.2141 0.5696  1 Fe 2.56
Dy 0.9395 0.0696 0.7141  1 Fe 2.56
Te 0.3777 0.1223 0.2500  8 Dy 3.21-3.36
Dy 0.4304 0.5605 0.7859  1 Fe 2.56
Dy 0.7141 0.0605 0.0696  1 Fe 2.56
Dy 0.5696 0.4395 0.2141  1 Fe 2.56
Te 0.2500 0.2500 0.7500  6 Dy 3.10
Dy 0.2141 0.4304 0.4395  1 Fe 2.56
Dy 0.0605 0.9304 0.2859  1 Fe 2.56

Summary:
Formation energy (no corrections) in eV/atom: -0.8594
SG: R-3c, No. 167
Raw total energy in eV per cell: -116.19
Calculated volume in A^3/atom: 28.232



The following is a DFT calculation (PBE) of Dy5Fe2Te2 after structural relaxation.

a b c (Å): 7.6675 7.6108 8.7570
angles (deg): 90.00 64.04 90.00
With the nearest neighbours (Å) after each atom.
Fractional coordinates of all 18 atoms:
Dy 0.7108 0.3321 0.2394  3 Fe 2.85-3.06, 2 Te 3.18-3.19
Fe 0.1092 0.3936 0.0000  1 Fe 2.33
Fe 0.3908 0.8936 0.0000  1 Fe 2.33
Te 0.7888 0.0000 0.4224  7 Dy 3.18-3.33
Te 0.7112 0.5000 0.5776  7 Dy 3.18-3.33
Fe 0.6092 0.1064 0.0000  1 Fe 2.33
Dy 0.7892 0.8321 0.7606  3 Fe 2.85-3.06, 2 Te 3.18-3.19
Dy 0.9502 0.3321 0.7606  3 Fe 2.85-3.06, 2 Te 3.18-3.19
Dy 0.5000 0.5000 0.0000  4 Fe 3.10-3.11, 2 Te 3.33, 8 Dy 3.41
Te 0.2888 0.5000 0.4224  7 Dy 3.18-3.33
Dy 0.2892 0.6679 0.7606  3 Fe 2.85-3.06, 2 Te 3.18-3.19
Te 0.2112 0.0000 0.5776  7 Dy 3.18-3.33
Fe 0.8908 0.6064 0.0000  1 Fe 2.33
Dy 0.5498 0.8321 0.2394  3 Fe 2.85-3.06, 2 Te 3.18-3.19
Dy 0.2108 0.1679 0.2394  3 Fe 2.85-3.06, 2 Te 3.18-3.19
Dy 0.0000 0.0000 0.0000  4 Fe 3.10-3.11, 2 Te 3.33, 8 Dy 3.41
Dy 0.4502 0.1679 0.7606  3 Fe 2.85-3.06, 2 Te 3.18-3.19
Dy 0.0498 0.6679 0.2394  3 Fe 2.85-3.06, 2 Te 3.18-3.19

Summary:
Formation energy (no corrections) in eV/atom: -0.5837
SG: Cmce, No. 64
Raw total energy in eV per cell: -102.95
Calculated volume in A^3/atom: 25.525



The following is a DFT calculation (PBE) of DyThFe4 after structural relaxation.

a b c (Å): 5.1884 5.1884 5.1884
angles (deg): 60.00 60.00 60.00
With the nearest neighbours (Å) after each atom.
Fractional coordinates of all 6 atoms:
Fe 0.6249 0.6249 0.1252  6 Fe 2.59-2.60
Fe 0.6249 0.1252 0.6249  6 Fe 2.59-2.60
Th 0.2500 0.2500 0.2500  12 Fe 3.04, 4 Dy 3.18
Dy 0.0000 0.0000 0.0000  12 Fe 3.04, 4 Th 3.18
Fe 0.1252 0.6249 0.6249  6 Fe 2.59-2.60
Fe 0.6249 0.6249 0.6249  6 Fe 2.59-2.60

Summary:
SG: F-43m, No. 216
Energy of formation in eV per atom: -0.079
Raw total energy in eV per cell: -46.35
Calculated volume in A^3/atom: 16.460



The following is a DFT calculation (PBE) of DyTh2Fe2 after structural relaxation.

a b c (Å): 3.9800 5.3698 6.0483
angles (deg): 106.52 109.21 90.00
With the nearest neighbours (Å) after each atom.
Fractional coordinates of all 5 atoms:
Th 0.6593 0.6270 0.3187  4 Fe 2.61-2.82
Fe 0.7033 0.1385 0.4066  4 Th 2.61-2.82, 2 Fe 2.88
Dy 0.0000 0.0000 0.0000  4 Fe 2.98
Fe 0.2967 0.8615 0.5934  4 Th 2.61-2.82, 2 Fe 2.88
Th 0.3407 0.3730 0.6813  4 Fe 2.61-2.82

Summary:
Relative energy among the computed polymorphs in meV per atom: 20
SG: C2/m, No. 12
Energy of formation in eV per atom: 0.032
Raw total energy in eV per cell: -36.21
Calculated volume in A^3/atom: 23.281



The following is a DFT calculation (PBE) of Dy2ThFe after structural relaxation.

a b c (Å): 5.2376 5.2376 5.2376
angles (deg): 60.00 60.00 60.00
With the nearest neighbours (Å) after each atom.
Fractional coordinates of all 4 atoms:
Dy 0.2500 0.2500 0.2499  4 Th 3.21, 4 Fe 3.21
Fe 0.0000 0.0000 0.0000  8 Dy 3.21
Th 0.5000 0.5000 0.5000  8 Dy 3.21
Dy 0.7500 0.7500 0.7501  4 Th 3.21, 4 Fe 3.21

Summary:
Relative energy among the computed polymorphs in meV per atom: 586
SG: Fm-3m, No. 225
Energy of formation in eV per atom: 0.494
Raw total energy in eV per cell: -23.11
Calculated volume in A^3/atom: 25.399



The following is a DFT calculation (PBE) of DyThFe2 after structural relaxation.

a b c (Å): 4.0224 3.8642 5.7526
angles (deg): 90.00 110.50 90.00
With the nearest neighbours (Å) after each atom.
Fractional coordinates of all 4 atoms:
Fe 0.0229 0.0000 0.5848  2 Fe 2.32
Dy 0.7260 0.0000 0.9910  7 Fe 2.93-3.20
Th 0.4403 0.5000 0.4189  7 Fe 2.93-3.21
Fe 0.1419 0.5000 0.8233  2 Fe 2.32

Summary:
SG: Amm2, No. 38
Energy of formation in eV per atom: -0.021
Raw total energy in eV per cell: -29.03
Calculated volume in A^3/atom: 20.938



The following is a DFT calculation (PBE) of DyTh4Fe4 after structural relaxation.

a b c (Å): 5.5000 8.5238 8.5238
angles (deg): 90.00 90.00 90.00
With the nearest neighbours (Å) after each atom.
Fractional coordinates of all 18 atoms:
Th 0.0656 0.1965 0.5849  3 Fe 2.59-2.67
Th 0.5656 0.0849 0.3035  3 Fe 2.59-2.67
Th 0.9344 0.5849 0.8035  3 Fe 2.59-2.67
Fe 0.4125 0.6373 0.7867  3 Th 2.59-2.67, 1 Fe 2.70, 1 Dy 2.75
Fe 0.4125 0.3627 0.2133  3 Th 2.59-2.67, 1 Fe 2.70, 1 Dy 2.75
Th 0.4344 0.3035 0.9151  3 Fe 2.59-2.67
Fe 0.5875 0.2133 0.6373  3 Th 2.59-2.67, 1 Fe 2.70, 1 Dy 2.75
Th 0.9344 0.4151 0.1965  3 Fe 2.59-2.67
Fe 0.0875 0.8627 0.7133  3 Th 2.59-2.67, 1 Fe 2.70, 1 Dy 2.75
Dy 0.5000 0.5000 0.5000  4 Fe 2.75
Fe 0.0875 0.1373 0.2867  3 Th 2.59-2.67, 1 Fe 2.70, 1 Dy 2.75
Fe 0.5875 0.7867 0.3627  3 Th 2.59-2.67, 1 Fe 2.70, 1 Dy 2.75
Fe 0.9125 0.7133 0.1373  3 Th 2.59-2.67, 1 Fe 2.70, 1 Dy 2.75
Th 0.4344 0.6965 0.0849  3 Fe 2.59-2.67
Fe 0.9125 0.2867 0.8627  3 Th 2.59-2.67, 1 Fe 2.70, 1 Dy 2.75
Dy 0.0000 0.0000 0.0000  4 Fe 2.75
Th 0.0656 0.8035 0.4151  3 Fe 2.59-2.67
Th 0.5656 0.9151 0.6965  3 Fe 2.59-2.67

Summary:
SG: P4_2/n, No. 86
Energy of formation in eV per atom: 0.013
Raw total energy in eV per cell: -136.03
Calculated volume in A^3/atom: 22.200



The following is a DFT calculation (PBE) of Dy2ThFe after structural relaxation.

a b c (Å): 6.2802 6.9775 9.5448
angles (deg): 90.00 90.00 90.00
With the nearest neighbours (Å) after each atom.
Fractional coordinates of all 16 atoms:
Fe 0.9861 0.6310 0.7500  2 Th 2.41-2.60
Th 0.1573 0.9405 0.7500  2 Fe 2.41-2.60
Dy 0.6765 0.8320 0.5695  2 Fe 2.89-2.95
Dy 0.1765 0.6680 0.4305  2 Fe 2.89-2.95
Dy 0.1765 0.6680 0.0695  2 Fe 2.89-2.95
Fe 0.5139 0.1310 0.7500  2 Th 2.41-2.60
Th 0.3427 0.4405 0.7500  2 Fe 2.41-2.60
Fe 0.0139 0.3690 0.2500  2 Th 2.41-2.60
Dy 0.3235 0.1680 0.0695  2 Fe 2.89-2.95
Dy 0.8235 0.3320 0.9305  2 Fe 2.89-2.95
Th 0.8427 0.0595 0.2500  2 Fe 2.41-2.60
Th 0.6573 0.5595 0.2500  2 Fe 2.41-2.60
Dy 0.8235 0.3320 0.5695  2 Fe 2.89-2.95
Dy 0.6765 0.8320 0.9305  2 Fe 2.89-2.95
Dy 0.3235 0.1680 0.4305  2 Fe 2.89-2.95
Fe 0.4861 0.8690 0.2500  2 Th 2.41-2.60

Summary:
Relative energy among the computed polymorphs in meV per atom: 0
SG: Pnma, No. 62
Energy of formation in eV per atom: -0.092
Raw total energy in eV per cell: -101.82
Calculated volume in A^3/atom: 26.141



The following is a DFT calculation (PBE) of DyTh2Fe2 after structural relaxation.

a b c (Å): 6.0869 6.2294 7.3809
angles (deg): 77.69 90.00 60.75
With the nearest neighbours (Å) after each atom.
Fractional coordinates of all 10 atoms:
Th 0.7686 0.6802 0.1567  1 Fe 2.50
Th 0.4487 0.3198 0.3433  1 Fe 2.50
Dy 0.9187 0.0000 0.7500  4 Fe 2.79-2.86
Fe 0.0624 0.6328 0.5323  1 Fe 2.26, 1 Th 2.50
Th 0.5513 0.6802 0.6567  1 Fe 2.50
Dy 0.0813 0.0000 0.2500  4 Fe 2.79-2.86
Fe 0.3049 0.6328 0.0323  1 Fe 2.26, 1 Th 2.50
Fe 0.6951 0.3672 0.9677  1 Fe 2.26, 1 Th 2.50
Fe 0.9376 0.3672 0.4677  1 Fe 2.26, 1 Th 2.50
Th 0.2314 0.3198 0.8433  1 Fe 2.50

Summary:
Relative energy among the computed polymorphs in meV per atom: 0
SG: C2/c, No. 15
Energy of formation in eV per atom: 0.012
Raw total energy in eV per cell: -72.61
Calculated volume in A^3/atom: 23.679



The following is a DFT calculation (PBE) of DyThFe10 after structural relaxation.

a b c (Å): 3.9863 5.0360 8.7048
angles (deg): 90.00 90.00 90.00
With the nearest neighbours (Å) after each atom.
Fractional coordinates of all 12 atoms:
Fe 0.0000 0.0000 0.6641  6 Fe 2.45-2.47
Fe 0.5000 0.5000 0.0000  8 Fe 2.48-2.54
Fe 0.5000 0.7484 0.2539  8 Fe 2.47-2.54
Fe 0.5000 0.2516 0.7461  8 Fe 2.47-2.54
Fe 0.0000 0.0000 0.3359  6 Fe 2.45-2.47
Fe 0.0000 0.5000 0.8312  6 Fe 2.47-2.48
Fe 0.5000 0.0000 0.5000  8 Fe 2.45-2.49
Fe 0.0000 0.5000 0.1688  6 Fe 2.47-2.48
Fe 0.5000 0.2516 0.2539  8 Fe 2.47-2.54
Dy 0.0000 0.5000 0.5000  18 Fe 2.88-3.21
Th 0.0000 0.0000 0.0000  18 Fe 2.92-3.23
Fe 0.5000 0.7484 0.7461  8 Fe 2.47-2.54

Summary:
SG: Pmmm, No. 47
Energy of formation in eV per atom: -0.049
Raw total energy in eV per cell: -97.23
Calculated volume in A^3/atom: 14.562



The following is a DFT calculation (PBE) of Dy2ThFe after structural relaxation.

a b c (Å): 3.3825 3.3825 8.8502
angles (deg): 90.00 90.00 90.00
With the nearest neighbours (Å) after each atom.
Fractional coordinates of all 4 atoms:
Dy 0.0000 0.0000 0.8190  4 Fe 2.88, 1 Dy 3.20
Fe 0.5000 0.5000 0.0000  8 Dy 2.88
Dy 0.0000 0.0000 0.1810  4 Fe 2.88, 1 Dy 3.20
Th 0.5000 0.5000 0.5000  4 Th 3.38, 8 Dy 3.70

Summary:
Relative energy among the computed polymorphs in meV per atom: 222
SG: P4/mmm, No. 123
Energy of formation in eV per atom: 0.130
Raw total energy in eV per cell: -24.57
Calculated volume in A^3/atom: 25.315



The following is a DFT calculation (PBE) of DyTh4Fe2 after structural relaxation.

a b c (Å): 6.7755 8.3528 7.0745
angles (deg): 113.25 90.00 90.00
With the nearest neighbours (Å) after each atom.
Fractional coordinates of all 14 atoms:
Th 0.7500 0.0030 0.3345  2 Fe 2.87-2.94
Th 0.4990 0.3955 0.6991  2 Fe 2.61-2.68
Th 0.2500 0.9970 0.6655  2 Fe 2.87-2.94
Th 0.0010 0.3955 0.6991  2 Fe 2.61-2.68
Th 0.7500 0.7843 0.7730  1 Fe 2.51
Fe 0.2500 0.6340 0.5922  3 Th 2.61-2.87, 1 Dy 2.66
Fe 0.2500 0.3580 0.9732  3 Th 2.51-2.68
Fe 0.7500 0.6420 0.0268  3 Th 2.51-2.68
Th 0.9990 0.6045 0.3009  2 Fe 2.61-2.68
Dy 0.7500 0.2274 0.9979  1 Fe 2.66
Dy 0.2500 0.7726 0.0021  1 Fe 2.66
Fe 0.7500 0.3660 0.4078  3 Th 2.61-2.87, 1 Dy 2.66
Th 0.5010 0.6045 0.3009  2 Fe 2.61-2.68
Th 0.2500 0.2157 0.2270  1 Fe 2.51

Summary:
SG: P2_1/m, No. 11
Energy of formation in eV per atom: -0.008
Raw total energy in eV per cell: -102.53
Calculated volume in A^3/atom: 26.276